# 1
The following is a DFT calculation (GGA-PBE) of an optimized crystal structure of CuRhSe.

Cell lengths 3.327, 3.327, 16.922 Å; angles 90.00, 90.00, 120.00 degrees
Sites, in units of the cell vectors:
1 Rh 0.667 0.333 0.412
2 Rh 0.000 0.000 0.078
3 Rh 0.333 0.667 0.745
4 Cu 0.000 0.000 0.638
5 Cu 0.333 0.667 0.304
6 Cu 0.667 0.333 0.971
7 Se 0.000 0.000 0.495
8 Se 0.667 0.333 0.828
9 Se 0.333 0.667 0.162

V, Å³ per cell: 162.25
M_tot, μB/cell: 0.00
Distance to the lowest polymorph of the same formula, meV/atom: 0
Space-group type: R3m, No. 160
ΔE_f (raw), eV per atom: -0.008

# 2
The following is a DFT calculation (GGA-PBE) of an optimized crystal structure of CsMg4Sb2Te.

Cell lengths 4.933, 4.933, 11.180 Å; angles 90.00, 90.00, 90.00 degrees
Sites, in units of the cell vectors:
1 Te 0.000 0.000 0.000
2 Mg 0.000 0.500 0.844
3 Mg 0.500 0.000 0.156
4 Mg 0.500 0.000 0.844
5 Mg 0.000 0.500 0.156
6 Cs 0.000 0.000 0.500
7 Sb 0.500 0.500 0.286
8 Sb 0.500 0.500 0.714

V, Å³ per cell: 272.02
M_tot, μB/cell: 0.00
Space-group type: P4/mmm, No. 123
ΔE_f (raw), eV per atom: -0.453

# 3
The following is a DFT calculation (GGA-PBE) of an optimized crystal structure of Na4Ce3TlS8.

Cell lengths 8.380, 8.140, 8.381 Å; angles 120.98, 120.00, 90.00 degrees
Sites, in units of the cell vectors:
1 S 0.743 0.272 0.029
2 S 0.715 0.728 0.971
3 S 0.743 0.272 0.487
4 S 0.257 0.728 0.513
5 S 0.285 0.272 0.029
6 S 0.256 0.267 0.511
7 S 0.744 0.733 0.489
8 S 0.257 0.728 0.971
9 Na 0.000 0.000 0.500
10 Na 0.500 0.000 0.000
11 Na 0.000 0.000 0.000
12 Na 0.500 0.000 0.500
13 Ce 0.000 0.500 0.500
14 Ce 0.500 0.500 0.500
15 Ce 0.500 0.500 0.000
16 Tl 0.000 0.500 0.000

V, Å³ per cell: 398.21
M_tot, μB/cell: 1.13
Space-group type: R-3m, No. 166
ΔE_f (raw), eV per atom: -1.487

# 4
The following is a DFT calculation (GGA-PBE) of an optimized crystal structure of Pd2Pb2Br.

Cell lengths 3.937, 3.937, 8.711 Å; angles 76.94, 76.94, 90.00 degrees
Sites, in units of the cell vectors:
1 Pd 0.750 0.250 0.500
2 Pd 0.250 0.750 0.500
3 Pb 0.624 0.624 0.751
4 Pb 0.376 0.376 0.249
5 Br 0.000 0.000 0.000

V, Å³ per cell: 127.96
M_tot, μB/cell: 0.00
Distance to the lowest polymorph of the same formula, meV/atom: 0
Space-group type: I4/mmm, No. 139
ΔE_f (raw), eV per atom: -0.281

Question: What is the M_tot in the first record?
Answer: 0.00 μB/cell

Question: Number 1 is which compound?
Answer: CuRhSe

Repeat the third record exactly.
The following is a DFT calculation (GGA-PBE) of an optimized crystal structure of Na4Ce3TlS8.

Cell lengths 8.380, 8.140, 8.381 Å; angles 120.98, 120.00, 90.00 degrees
Sites, in units of the cell vectors:
1 S 0.743 0.272 0.029
2 S 0.715 0.728 0.971
3 S 0.743 0.272 0.487
4 S 0.257 0.728 0.513
5 S 0.285 0.272 0.029
6 S 0.256 0.267 0.511
7 S 0.744 0.733 0.489
8 S 0.257 0.728 0.971
9 Na 0.000 0.000 0.500
10 Na 0.500 0.000 0.000
11 Na 0.000 0.000 0.000
12 Na 0.500 0.000 0.500
13 Ce 0.000 0.500 0.500
14 Ce 0.500 0.500 0.500
15 Ce 0.500 0.500 0.000
16 Tl 0.000 0.500 0.000

V, Å³ per cell: 398.21
M_tot, μB/cell: 1.13
Space-group type: R-3m, No. 166
ΔE_f (raw), eV per atom: -1.487